No. 1
The following is a GGA-PBE calculation of an optimized crystal structure of TaGaFe3, from the Alexandria database.

Cell: 4.558 4.558 4.558 Å, 90.00 90.00 90.00°
Space group Pm-3m (No. 221)
Inequivalent atoms, fractional coordinates:
1 Ta 0.000 0.000 0.000 (multiplicity 1)
2 Ga 0.500 0.500 0.500 (multiplicity 1)
3 Fe 0.000 0.000 0.500 (multiplicity 3)

Properties
The uncorrected energy comes out at -6.62 eV per atom. The magnetic moment comes out at 5.15 μB per cell.

No. 2
The following is a GGA-PBE calculation of an optimized crystal structure of BaSrAu, from the Alexandria database.

Cell: 4.005 7.835 8.034 Å, 105.07 90.04 104.74°
Space group P-1 (No. 2)
Inequivalent atoms, fractional coordinates:
1 Ba 0.129 0.257 0.067 (multiplicity 2)
2 Sr 0.127 0.253 0.562 (multiplicity 2)
3 Au 0.499 0.998 0.262 (multiplicity 2)

Properties
The uncorrected energy comes out at -2.80 eV per atom. The magnetic moment comes out at 0.00 μB per cell.

No. 3
The following is a GGA-PBE calculation of an optimized crystal structure of La4GeAuI2, from the Alexandria database.

Cell: 7.970 4.392 8.009 Å, 90.00 107.85 90.00°
Space group P2/m (No. 10)
Inequivalent atoms, fractional coordinates:
1 La 0.230 0.000 0.213 (multiplicity 2)
2 La 0.264 0.500 0.792 (multiplicity 2)
3 Ge 0.000 0.500 0.000 (multiplicity 1)
4 Au 0.500 0.000 0.000 (multiplicity 1)
5 I 0.000 0.000 0.500 (multiplicity 1)
6 I 0.500 0.500 0.500 (multiplicity 1)

Properties
For the energy relative to the elements, uncorrected, the calculation gives -0.9904 eV per atom. The magnetic moment comes out at 0.00 μB per cell.

No. 4
The following is a GGA-PBE calculation of an optimized crystal structure of CsBaLa2, from the Alexandria database.

Cell: 9.225 9.225 9.225 Å, 90.00 90.00 90.00°
Space group Fm-3m (No. 225)
Inequivalent atoms, fractional coordinates:
1 Cs 0.000 0.000 0.000 (multiplicity 4)
2 Ba 0.000 0.000 0.500 (multiplicity 4)
3 La 0.250 0.250 0.250 (multiplicity 8)

Properties
The uncorrected energy comes out at -2.58 eV per atom. The magnetic moment comes out at 0.00 μB per cell.

No. 5
The following is a GGA-PBE calculation of an optimized crystal structure of Pr7MnBr12, from the Alexandria database.

Cell: 15.4041 15.4041 10.8824 Å, 90.00 90.00 120.00°
Space group R-3 (No. 148, hexagonal axes)
Inequivalent atoms, fractional coordinates:
1 Pr 0.0000 0.0000 0.0000 (multiplicity 3)
2 Pr 0.0412 0.1634 0.3585 (multiplicity 18)
3 Mn 0.0000 0.0000 0.5000 (multiplicity 3)
4 Br 0.0243 0.5854 0.1584 (multiplicity 18)
5 Br 0.0439 0.1686 0.8354 (multiplicity 18)

Properties
For the energy relative to the elements, uncorrected, the calculation gives -1.5278 eV per atom. The magnetic moment comes out at 6.15 μB per cell.

No. 6
The following is a GGA-PBE calculation of an optimized crystal structure of AcLaBi2, from the Alexandria database.

Cell: 4.7485 4.7485 16.0141 Å, 90.00 90.00 120.00°
Space group P6_3/mmc (No. 194)
Inequivalent atoms, fractional coordinates:
1 Ac 0.0000 0.0000 0.0000 (multiplicity 2)
2 La 0.3333 0.6667 0.2500 (multiplicity 2)
3 Bi 0.3333 0.6667 0.6278 (multiplicity 4)

Properties
The uncorrected energy comes out at -5.17 eV per atom. The magnetic moment comes out at 0.00 μB per cell.

No. 7
The following is a GGA-PBE calculation of an optimized crystal structure of Zn5Cu8Ir, from the Alexandria database.

Cell: 7.248 7.248 7.282 Å, 90.00 90.00 90.00°
Space group I-4 (No. 82)
Inequivalent atoms, fractional coordinates:
1 Zn 0.000 0.000 0.000 (multiplicity 2)
2 Zn 0.119 0.211 0.591 (multiplicity 8)
3 Cu 0.065 0.337 0.920 (multiplicity 8)
4 Cu 0.108 0.172 0.255 (multiplicity 8)
5 Ir 0.000 0.500 0.250 (multiplicity 2)

Properties
The uncorrected energy comes out at -3.32 eV per atom. The magnetic moment comes out at 0.00 μB per cell.

No. 8
The following is a GGA-PBE calculation of an optimized crystal structure of Mg6HgPd5, from the Alexandria database.

Cell: 4.614 6.326 7.237 Å, 90.00 106.88 90.00°
Space group P2/m (No. 10)
Inequivalent atoms, fractional coordinates:
1 Mg 0.000 0.238 0.000 (multiplicity 2)
2 Mg 0.324 0.245 0.654 (multiplicity 4)
3 Hg 0.500 0.500 0.000 (multiplicity 1)
4 Pd 0.167 0.000 0.328 (multiplicity 2)
5 Pd 0.167 0.500 0.329 (multiplicity 2)
6 Pd 0.500 0.000 0.000 (multiplicity 1)

Properties
The uncorrected energy comes out at -3.63 eV per atom. The magnetic moment comes out at 0.00 μB per cell.

No. 9
The following is a GGA-PBE calculation of an optimized crystal structure of TbCeScPb, from the Alexandria database.

Cell: 7.516 7.516 7.516 Å, 90.00 90.00 90.00°
Space group F-43m (No. 216)
Inequivalent atoms, fractional coordinates:
1 Tb 0.000 0.000 0.000 (multiplicity 4)
2 Ce 0.250 0.250 0.250 (multiplicity 4)
3 Sc 0.000 0.000 0.500 (multiplicity 4)
4 Pb 0.250 0.250 0.750 (multiplicity 4)

Properties
The uncorrected energy comes out at -5.21 eV per atom. The magnetic moment comes out at 7.09 μB per cell.

No. 10
The following is a GGA-PBE calculation of an optimized crystal structure of BaSrI2O, from the Alexandria database.

Cell: 6.413 6.413 4.538 Å, 90.00 90.00 90.00°
Space group P4/mmm (No. 123)
Inequivalent atoms, fractional coordinates:
1 Ba 0.000 0.000 0.000 (multiplicity 1)
2 Sr 0.500 0.500 0.500 (multiplicity 1)
3 I 0.000 0.500 0.500 (multiplicity 2)
4 O 0.500 0.500 0.000 (multiplicity 1)

Properties
For the energy relative to the elements, uncorrected, the calculation gives -1.5690 eV per atom. The magnetic moment comes out at 0.00 μB per cell.

No. 11
The following is a GGA-PBE calculation of an optimized crystal structure of MnNi2Br, from the Alexandria database.

Cell: 5.708 5.728 3.477 Å, 90.00 90.00 90.00°
Space group Cmmm (No. 65)
Inequivalent atoms, fractional coordinates:
1 Mn 0.000 0.000 0.000 (multiplicity 2)
2 Ni 0.250 0.250 0.500 (multiplicity 4)
3 Br 0.000 0.500 0.000 (multiplicity 2)

Properties
For the energy relative to the elements, uncorrected, the calculation gives 0.4993 eV per atom. The magnetic moment comes out at 10.43 μB per cell.

No. 12
The following is a GGA-PBE calculation of an optimized crystal structure of CdW2Br, from the Alexandria database.

Cell: 3.065 4.460 6.307 Å, 90.00 90.00 90.00°
Space group Pmmm (No. 47)
Inequivalent atoms, fractional coordinates:
1 Cd 0.000 0.000 0.000 (multiplicity 1)
2 W 0.500 0.500 0.182 (multiplicity 2)
3 Br 0.000 0.000 0.500 (multiplicity 1)

Properties
For the energy relative to the elements, uncorrected, the calculation gives 1.3152 eV per atom. The magnetic moment comes out at 0.00 μB per cell.

No. 13
The following is a GGA-PBE calculation of an optimized crystal structure of Cu2Bi2Br, from the Alexandria database.

Cell: 8.126 8.126 3.431 Å, 90.00 90.00 90.00°
Space group P4/mbm (No. 127)
Inequivalent atoms, fractional coordinates:
1 Cu 0.113 0.387 0.000 (multiplicity 4)
2 Bi 0.174 0.674 0.500 (multiplicity 4)
3 Br 0.000 0.000 0.000 (multiplicity 2)

Properties
For the energy relative to the elements, uncorrected, the calculation gives 0.2167 eV per atom. The magnetic moment comes out at 0.00 μB per cell.

No. 14
The following is a GGA-PBE calculation of an optimized crystal structure of Rb3Dy3CrS8, from the Alexandria database.

Cell: 7.8313 7.8313 23.5841 Å, 90.00 90.00 120.00°
Space group R-3m (No. 166, hexagonal axes)
Inequivalent atoms, fractional coordinates:
1 Rb 0.0000 0.5000 0.0000 (multiplicity 9)
2 Dy 0.0000 0.5000 0.5000 (multiplicity 9)
3 Cr 0.0000 0.0000 0.5000 (multiplicity 3)
4 S 0.0000 0.0000 0.2313 (multiplicity 6)
5 S 0.0314 0.5157 0.2257 (multiplicity 18)

Properties
For the energy relative to the elements, uncorrected, the calculation gives -1.5218 eV per atom. The magnetic moment comes out at 6.05 μB per cell.

No. 15
The following is a GGA-PBE calculation of an optimized crystal structure of Sr2CaSb, from the Alexandria database.

Cell: 4.634 5.050 14.459 Å, 90.00 90.00 90.00°
Space group Amm2 (No. 38)
Inequivalent atoms, fractional coordinates:
1 Sr 0.000 0.000 0.000 (multiplicity 2)
2 Sr 0.500 0.000 0.322 (multiplicity 2)
3 Ca 0.000 0.000 0.698 (multiplicity 2)
4 Sb 0.500 0.000 0.554 (multiplicity 2)

Properties
For the energy relative to the elements, uncorrected, the calculation gives -0.5327 eV per atom. The magnetic moment comes out at 1.68 μB per cell.

No. 16
The following is a GGA-PBE calculation of an optimized crystal structure of Zn2Ni2Mo, from the Alexandria database.

Cell: 3.411 3.411 11.827 Å, 90.00 90.00 90.00°
Space group I4/mmm (No. 139)
Inequivalent atoms, fractional coordinates:
1 Zn 0.000 0.500 0.250 (multiplicity 4)
2 Ni 0.000 0.000 0.097 (multiplicity 4)
3 Mo 0.000 0.000 0.500 (multiplicity 2)

Properties
The uncorrected energy comes out at -4.70 eV per atom. The magnetic moment comes out at 2.12 μB per cell.

No. 17
The following is a GGA-PBE calculation of an optimized crystal structure of Fe2BiTeRh, from the Alexandria database.

Cell: 4.632 4.632 5.959 Å, 90.00 90.00 90.00°
Space group P4/mmm (No. 123)
Inequivalent atoms, fractional coordinates:
1 Fe 0.000 0.500 0.000 (multiplicity 2)
2 Bi 0.000 0.000 0.500 (multiplicity 1)
3 Te 0.000 0.000 0.000 (multiplicity 1)
4 Rh 0.500 0.500 0.500 (multiplicity 1)

Properties
For the energy relative to the elements, uncorrected, the calculation gives 1.3809 eV per atom. The magnetic moment comes out at 5.57 μB per cell.

No. 18
The following is a GGA-PBE calculation of an optimized crystal structure of La2Pm12Sm5, from the Alexandria database.

Cell: 16.388 10.152 8.024 Å, 90.00 90.11 90.00°
Space group C2/m (No. 12)
Inequivalent atoms, fractional coordinates:
1 La 0.000 0.213 0.000 (multiplicity 4)
2 Pm 0.051 0.500 0.709 (multiplicity 4)
3 Pm 0.106 0.275 0.390 (multiplicity 8)
4 Pm 0.163 0.000 0.123 (multiplicity 4)
5 Pm 0.194 0.230 0.793 (multiplicity 8)
6 Sm 0.000 0.000 0.500 (multiplicity 2)
7 Sm 0.146 0.500 0.078 (multiplicity 4)
8 Sm 0.248 0.000 0.488 (multiplicity 4)

Properties
The uncorrected energy comes out at -4.65 eV per atom. The magnetic moment comes out at 0.00 μB per cell.

No. 19
The following is a GGA-PBE calculation of an optimized crystal structure of Pr3Sm2In3, from the Alexandria database.

Cell: 8.9445 8.9445 3.4943 Å, 90.00 90.00 120.00°
Space group P-62m (No. 189)
Inequivalent atoms, fractional coordinates:
1 Pr 0.0000 0.2429 0.0000 (multiplicity 3)
2 Sm 0.3333 0.6667 0.0000 (multiplicity 2)
3 In 0.0000 0.6161 0.5000 (multiplicity 3)

Properties
The uncorrected energy comes out at -4.32 eV per atom. The magnetic moment comes out at 0.01 μB per cell.

No. 20
The following is a GGA-PBE calculation of an optimized crystal structure of ScSbTe2P, from the Alexandria database.

Cell: 5.274 5.274 5.024 Å, 90.00 90.00 90.00°
Space group P4/mmm (No. 123)
Inequivalent atoms, fractional coordinates:
1 Sc 0.000 0.000 0.000 (multiplicity 1)
2 Sb 0.500 0.500 0.000 (multiplicity 1)
3 Te 0.000 0.500 0.500 (multiplicity 2)
4 P 0.500 0.500 0.500 (multiplicity 1)

Properties
For the energy relative to the elements, uncorrected, the calculation gives 0.1918 eV per atom. The magnetic moment comes out at 0.00 μB per cell.

No. 21
The following is a GGA-PBE calculation of an optimized crystal structure of KBeSeBr2, from the Alexandria database.

Cell: 6.152 6.152 6.148 Å, 90.00 90.00 90.00°
Space group P4/mmm (No. 123)
Inequivalent atoms, fractional coordinates:
1 K 0.000 0.000 0.000 (multiplicity 1)
2 Be 0.500 0.500 0.500 (multiplicity 1)
3 Se 0.000 0.000 0.500 (multiplicity 1)
4 Br 0.000 0.500 0.000 (multiplicity 2)

Properties
For the energy relative to the elements, uncorrected, the calculation gives 0.6685 eV per atom. The magnetic moment comes out at 3.04 μB per cell.

No. 22
The following is a GGA-PBE calculation of an optimized crystal structure of Ca2Sn6Ir, from the Alexandria database.

Cell: 4.549 4.476 23.993 Å, 90.00 90.00 90.00°
Space group Amm2 (No. 38)
Inequivalent atoms, fractional coordinates:
1 Ca 0.000 0.000 0.000 (multiplicity 2)
2 Ca 0.000 0.000 0.340 (multiplicity 2)
3 Sn 0.000 0.000 0.605 (multiplicity 2)
4 Sn 0.000 0.000 0.727 (multiplicity 2)
5 Sn 0.500 0.000 0.102 (multiplicity 2)
6 Sn 0.500 0.000 0.225 (multiplicity 2)
7 Sn 0.500 0.000 0.471 (multiplicity 2)
8 Sn 0.500 0.000 0.893 (multiplicity 2)
9 Ir 0.500 0.000 0.786 (multiplicity 2)

Properties
The uncorrected energy comes out at -4.44 eV per atom. The magnetic moment comes out at 0.00 μB per cell.

No. 23
The following is a GGA-PBE calculation of an optimized crystal structure of PmPrTe2, from the Alexandria database.

Cell: 4.3899 4.3899 15.4457 Å, 90.00 90.00 120.00°
Space group P6_3/mmc (No. 194)
Inequivalent atoms, fractional coordinates:
1 Pm 0.3333 0.6667 0.2500 (multiplicity 2)
2 Pr 0.0000 0.0000 0.0000 (multiplicity 2)
3 Te 0.3333 0.6667 0.6259 (multiplicity 4)

Properties
For the energy relative to the elements, uncorrected, the calculation gives -1.4079 eV per atom. The magnetic moment comes out at 0.00 μB per cell.

No. 24
The following is a GGA-PBE calculation of an optimized crystal structure of NaLaSiTc2, from the Alexandria database.

Cell: 4.939 4.939 5.600 Å, 90.00 90.00 90.00°
Space group P4/mmm (No. 123)
Inequivalent atoms, fractional coordinates:
1 Na 0.000 0.000 0.000 (multiplicity 1)
2 La 0.500 0.500 0.500 (multiplicity 1)
3 Si 0.500 0.500 0.000 (multiplicity 1)
4 Tc 0.000 0.500 0.500 (multiplicity 2)

Properties
For the energy relative to the elements, uncorrected, the calculation gives 1.7089 eV per atom. The magnetic moment comes out at 2.93 μB per cell.

No. 25
The following is a GGA-PBE calculation of an optimized crystal structure of TaSb2P, from the Alexandria database.

Cell: 3.531 3.603 14.299 Å, 90.00 90.00 90.00°
Space group Immm (No. 71)
Inequivalent atoms, fractional coordinates:
1 Ta 0.000 0.000 0.000 (multiplicity 2)
2 Sb 0.000 0.500 0.165 (multiplicity 4)
3 P 0.000 0.000 0.500 (multiplicity 2)

Properties
For the energy relative to the elements, uncorrected, the calculation gives 0.0397 eV per atom. The magnetic moment comes out at 0.00 μB per cell.